# 1
NaPt, relaxed, DFT GGA-PBE; space group = Cm (8); DOS at the Fermi energy = 3.4 states/eV/cell; theoretical density = 10.1 g cm⁻³; magnetic moment = 0.00 Bohr magnetons per cell; ΔH_f (0 K) = -4.6 kJ per mole of atoms; DFT total energy = -3.73 eV per atom
1.0
1.4243 5.1939 -0.0233
-1.4243 5.1939 -0.0233
0.0000 1.9339 7.2674
Pt Na
3 3
direct
0.9306 0.9306 0.6271
0.0037 0.0037 0.9852
0.2848 0.2848 0.9513
0.6587 0.6587 0.6823
0.6049 0.6049 0.2676
0.3507 0.3507 0.3199

***

# 2
Er2LuPa, relaxed, DFT GGA-PBE; space group = R-3m (166); DOS at the Fermi energy = 5.7 states/eV/cell; theoretical density = 10.8 g cm⁻³; magnetic moment = 0.00 Bohr magnetons per cell; ΔH_f (0 K) = 25.4 kJ per mole of atoms; offset from the most stable computed form = 141 meV/atom; DFT total energy = -5.52 eV per atom
1.0
-1.1661 -1.5737 -2.6521
1.1914 -2.9644 -0.8141
-8.4183 -6.7741 5.6718
Lu Pa Er
1 1 2
direct
0.5000 0.5000 0.5000
0.0000 0.0000 0.0000
0.9118 0.9118 0.2646
0.0882 0.0882 0.7354